(1)
First-principles (PBE) data for an optimized crystal structure of KMgCrOs2, as listed in the Alexandria database.

Cell lengths 4.523, 5.157, 4.523 Å; angles 90.00, 90.00, 90.00 degrees
Site moments in Bohr magnetons follow the coordinates.
Sites, in units of the cell vectors:
Cr: 0.000 0.000 0.000  0.26
K: 0.500 0.500 0.500  0.00
Os: 0.000 0.000 0.500  0.46
Os: 0.500 0.000 0.000  0.26
Mg: 0.000 0.500 0.000  0.00

Values from the calculation:
The value obtained for the density of states at the Fermi level is 1.004 states/eV per atom. The magnetic moment is 1.077 Bohr magnetons per cell. The uncorrected energy is -28.6 eV/cell. As for the formation energy: 6.2 eV per formula unit.

(2)
First-principles (PBE) data for an optimized crystal structure of KMgCr2Pd, as listed in the Alexandria database.

Cell lengths 5.253, 5.053, 5.253 Å; angles 90.00, 90.00, 90.00 degrees
Site moments in Bohr magnetons follow the coordinates.
Sites, in units of the cell vectors:
Cr: 0.000 0.000 0.500  4.17
Cr: 0.500 0.000 0.000  4.22
K: 0.000 0.000 0.000  0.13
Mg: 0.500 0.500 0.500  -0.03
Pd: 0.000 0.500 0.000  0.02

Values from the calculation:
The value obtained for the density of states at the Fermi level is 0.473 states/eV per atom. The magnetic moment is 9.698 Bohr magnetons per cell. The uncorrected energy is -18.5 eV/cell. As for the formation energy: 8.6 eV per formula unit.

(3)
First-principles (PBE) data for an optimized crystal structure of K2MgCrPt, as listed in the Alexandria database.

Cell lengths 6.066, 5.237, 6.066 Å; angles 90.00, 90.00, 90.00 degrees
Site moments in Bohr magnetons follow the coordinates.
Sites, in units of the cell vectors:
Cr: 0.000 0.500 0.000  4.16
K: 0.000 0.000 0.500  0.01
K: 0.500 0.000 0.000  0.01
Mg: 0.000 0.000 0.000  0.03
Pt: 0.500 0.500 0.500  -0.05

Values from the calculation:
The value obtained for the density of states at the Fermi level is 0.623 states/eV per atom. The magnetic moment is 5.309 Bohr magnetons per cell. The uncorrected energy is -13.7 eV/cell. As for the formation energy: 5.7 eV per formula unit.

Which value of uncorrected energy does entry 3 give? -13.7 eV/cell

Look up the formation energy of the second one. 8.6 eV per formula unit

Among the records above, which one has the highest magnetic moment? KMgCr2Pd

Which of these has the highest uncorrected energy? K2MgCrPt